## Tb5YTlIn2 (PBE)

Data for crystalline Tb5YTlIn2 at its relaxed geometry.

a b c (Å): 9.3712 9.3712 9.3712
angles (deg): 125.26 125.26 81.10
With the nearest neighbours (Å) after each atom.
Sites, in units of the cell vectors:
Tb1 0.0000 0.0000 0.0000  4 In 3.49, 2 Tl 3.56, 8 Tb 3.62
Tb2 0.0755 0.5755 0.9171  1 In 2.91, 1 Y 3.04
Tb3 0.1584 0.0755 0.5000  1 In 2.91, 1 Y 3.04
Tb4 0.3416 0.8416 0.9171  1 In 2.91, 1 Y 3.04
Tb5 0.4245 0.3416 0.5000  1 In 2.91, 1 Y 3.04
Tb6 0.5000 0.5000 0.0000  4 In 3.49, 2 Tl 3.56, 8 Tb 3.62
Tb7 0.5755 0.6584 0.5000  1 In 2.91, 1 Y 3.04
Tb8 0.6584 0.1584 0.0829  1 In 2.91, 1 Y 3.04
Tb9 0.8416 0.9245 0.5000  1 In 2.91, 1 Y 3.04
Tb10 0.9245 0.4245 0.0829  1 In 2.91, 1 Y 3.04
Y1 0.2500 0.7500 0.5000  4 Tb 3.04
Y2 0.7500 0.2500 0.5000  4 Tb 3.04
Tl1 0.2500 0.2500 0.0000  10 Tb 3.51-3.56
Tl2 0.7500 0.7500 0.0000  10 Tb 3.51-3.56
In1 0.1098 0.3902 0.5000  1 In 2.68, 2 Tb 2.91
In2 0.3902 0.8902 0.2804  1 In 2.68, 2 Tb 2.91
In3 0.6098 0.1098 0.7196  1 In 2.68, 2 Tb 2.91
In4 0.8902 0.6098 0.5000  1 In 2.68, 2 Tb 2.91

Calculated values
Total energy in eV per atom: -4.219

---

## Dy3Cu8Pd (PBE)

Data for crystalline Dy3Cu8Pd at its relaxed geometry.

a b c (Å): 5.1254 5.1254 8.4336
angles (deg): 90.00 90.00 120.00
With the nearest neighbours (Å) after each atom.
Sites, in units of the cell vectors:
Dy1 0.0000 0.0000 0.0000  12 Cu 3.00-3.09, 4 Dy 3.28-3.34
Dy2 0.0000 0.0000 0.3958  12 Cu 2.82-3.11, 3 Pd 3.04
Dy3 0.3333 0.6667 0.8327  9 Cu 2.87-3.09, 1 Pd 3.00
Cu1 0.0054 0.5027 0.1864  6 Cu 2.52-2.60
Cu2 0.3367 0.1683 0.6798  6 Cu 2.54-2.64, 1 Dy 2.82
Cu3 0.4973 0.5027 0.1864  6 Cu 2.52-2.60
Cu4 0.4973 0.9946 0.1864  6 Cu 2.52-2.60
Cu5 0.6667 0.3333 0.4335  6 Cu 2.54-2.57
Cu6 0.6667 0.3333 0.9395  6 Cu 2.57-2.64
Cu7 0.8317 0.1683 0.6798  6 Cu 2.54-2.64, 1 Dy 2.82
Cu8 0.8317 0.6633 0.6798  6 Cu 2.54-2.64, 1 Dy 2.82
Pd1 0.3333 0.6667 0.4772  12 Cu 2.85-3.08, 4 Dy 3.00-3.04

Calculated values
Total energy in eV per atom: -4.588

---

## K2CaGaI5 (PBE)

Data for crystalline K2CaGaI5 at its relaxed geometry.

a b c (Å): 10.5078 10.5078 16.5013
angles (deg): 90.00 90.00 153.86
With the nearest neighbours (Å) after each atom.
Sites, in units of the cell vectors:
K1 0.0787 0.9213 0.5000  6 I 3.49-3.62
K2 0.1294 0.8706 0.1536  6 I 3.58-3.92
K3 0.8706 0.1294 0.6536  6 I 3.58-3.92
K4 0.9213 0.0787 0.0000  6 I 3.49-3.62
Ca1 0.2338 0.7662 0.8863  6 I 3.10-3.23
Ca2 0.7662 0.2338 0.3863  6 I 3.10-3.23
Ga1 0.4461 0.5539 0.3008  5 I 3.20-3.57
Ga2 0.5539 0.4461 0.8008  5 I 3.20-3.57
I1 0.0856 0.9144 0.9242  1 Ca 3.10, 2 Ga 3.20
I2 0.2516 0.7484 0.5177  2 Ca 3.23, 1 K 3.55
I3 0.2906 0.7094 0.2598  2 Ca 3.20, 1 Ga 3.25
I4 0.3824 0.6176 0.8419  1 Ca 3.13
I5 0.4985 0.5015 0.6191  1 Ga 3.21, 4 K 3.49-3.58
I6 0.5015 0.4985 0.1191  1 Ga 3.21, 4 K 3.49-3.58
I7 0.6176 0.3824 0.3419  1 Ca 3.13
I8 0.7094 0.2906 0.7598  2 Ca 3.20, 1 Ga 3.25
I9 0.7484 0.2516 0.0177  2 Ca 3.23, 1 K 3.55
I10 0.9144 0.0856 0.4242  1 Ca 3.10, 2 Ga 3.20

Calculated values
Uncorrected formation energy in eV per atom: -1.246

---

## K2BaTe2 (PBE)

Data for crystalline K2BaTe2 at its relaxed geometry.

a b c (Å): 9.3337 9.3337 9.3337
angles (deg): 149.95 149.95 43.01
With the nearest neighbours (Å) after each atom.
Sites, in units of the cell vectors:
K1 0.2500 0.7500 0.5000  4 Te 3.42, 4 K 3.42
K2 0.7500 0.2500 0.5000  4 Te 3.42, 4 K 3.42
Ba1 0.0000 0.0000 0.0000  8 Te 3.93
Te1 0.3891 0.3891 0.0000  4 K 3.42
Te2 0.6109 0.6109 0.0000  4 K 3.42

Calculated values
Uncorrected formation energy in eV per atom: -1.069

---

## Pm12Sm7Er (PBE)

Data for crystalline Pm12Sm7Er at its relaxed geometry.

a b c (Å): 8.8677 8.8677 8.8677
angles (deg): 87.27 87.27 87.27
With the nearest neighbours (Å) after each atom.
Sites, in units of the cell vectors:
Pm1 0.0072 0.8850 0.3639  4 Pm 3.23-3.44, 2 Sm 3.34-3.60
Pm2 0.1150 0.6361 0.9928  4 Pm 3.23-3.44, 2 Sm 3.34-3.60
Pm3 0.2268 0.3527 0.7537  3 Pm 3.27-3.44, 1 Er 3.48, 2 Sm 3.60-3.66
Pm4 0.2463 0.7732 0.6473  3 Pm 3.27-3.44, 1 Er 3.48, 2 Sm 3.60-3.66
Pm5 0.3527 0.7537 0.2268  3 Pm 3.27-3.44, 1 Er 3.48, 2 Sm 3.60-3.66
Pm6 0.3639 0.0072 0.8850  4 Pm 3.23-3.44, 2 Sm 3.34-3.60
Pm7 0.6361 0.9928 0.1150  4 Pm 3.23-3.44, 2 Sm 3.34-3.60
Pm8 0.6473 0.2463 0.7732  3 Pm 3.27-3.44, 1 Er 3.48, 2 Sm 3.60-3.66
Pm9 0.7537 0.2268 0.3527  3 Pm 3.27-3.44, 1 Er 3.48, 2 Sm 3.60-3.66
Pm10 0.7732 0.6473 0.2463  3 Pm 3.27-3.44, 1 Er 3.48, 2 Sm 3.60-3.66
Pm11 0.8850 0.3639 0.0072  4 Pm 3.23-3.44, 2 Sm 3.34-3.60
Pm12 0.9928 0.1150 0.6361  4 Pm 3.23-3.44, 2 Sm 3.34-3.60
Sm1 0.0000 0.0000 0.0000  6 Pm 3.34
Sm2 0.1058 0.4255 0.3504  3 Sm 3.45-3.54, 7 Pm 3.60-3.81
Sm3 0.3504 0.1058 0.4255  3 Sm 3.45-3.54, 7 Pm 3.60-3.81
Sm4 0.4255 0.3504 0.1058  3 Sm 3.45-3.54, 7 Pm 3.60-3.81
Sm5 0.5745 0.6496 0.8942  3 Sm 3.45-3.54, 7 Pm 3.60-3.81
Sm6 0.6496 0.8942 0.5745  3 Sm 3.45-3.54, 7 Pm 3.60-3.81
Sm7 0.8942 0.5745 0.6496  3 Sm 3.45-3.54, 7 Pm 3.60-3.81
Er1 0.5000 0.5000 0.5000  6 Pm 3.48, 6 Sm 3.89

Calculated values
Total energy in eV per atom: -4.504

---

## LiHf2TaW (PBE)

Data for crystalline LiHf2TaW at its relaxed geometry.

a b c (Å): 4.5840 4.5840 4.3689
angles (deg): 90.00 90.00 90.00
With the nearest neighbours (Å) after each atom.
Sites, in units of the cell vectors:
Li1 0.0000 0.0000 0.0000  2 W 2.18, 4 Hf 2.29
Hf1 0.0000 0.5000 0.0000  2 Li 2.29
Hf2 0.5000 0.0000 0.0000  2 Li 2.29
Ta1 0.5000 0.5000 0.5000  8 Hf 3.17, 4 W 3.24
W1 0.0000 0.0000 0.5000  2 Li 2.18

Calculated values
Total energy in eV per atom: -8.249

---

## RbSiRuAu2 (PBE)

Data for crystalline RbSiRuAu2 at its relaxed geometry.

a b c (Å): 5.5676 5.5676 4.9255
angles (deg): 90.00 90.00 90.00
With the nearest neighbours (Å) after each atom.
Sites, in units of the cell vectors:
Rb1 0.0000 0.0000 0.0000  2 Ru 2.46
Si1 0.5000 0.5000 0.5000  8 Au 3.72, 4 Ru 3.94
Ru1 0.0000 0.0000 0.5000  2 Rb 2.46
Au1 0.0000 0.5000 0.0000  2 Rb 2.78
Au2 0.5000 0.0000 0.0000  2 Rb 2.78

Calculated values
Uncorrected formation energy in eV per atom: 2.241

---

## TlZnOs2 (PBE)

Data for crystalline TlZnOs2 at its relaxed geometry.

a b c (Å): 2.8772 2.8772 8.6311
angles (deg): 90.00 90.00 90.00
With the nearest neighbours (Å) after each atom.
Sites, in units of the cell vectors:
Tl1 0.0000 0.0000 0.0000  4 Tl 2.88, 4 Os 3.14
Zn1 0.5000 0.5000 0.3277  4 Os 2.72, 4 Zn 2.88
Os1 0.0000 0.0000 0.5362  8 Os 2.60-2.88, 4 Zn 2.72
Os2 0.5000 0.5000 0.7228  8 Os 2.60-2.88

Calculated values
Total energy in eV per atom: -6.124

---

## GaPd2Rh (PBE)

Data for crystalline GaPd2Rh at its relaxed geometry.

a b c (Å): 9.7017 9.7017 9.7017
angles (deg): 157.94 157.94 31.40
With the nearest neighbours (Å) after each atom.
Sites, in units of the cell vectors:
Ga1 0.0000 0.0000 0.0000  4 Rh 2.63, 4 Pd 2.68
Ga2 0.7500 0.2500 0.5000  4 Rh 2.63, 4 Pd 2.68
Pd1 0.1236 0.6250 0.9986  4 Pd 2.62-2.63, 2 Ga 2.68, 2 Rh 2.68
Pd2 0.3750 0.3736 0.4986  4 Pd 2.62-2.63, 2 Ga 2.68, 2 Rh 2.68
Pd3 0.6264 0.1250 0.0014  4 Pd 2.62-2.63, 2 Ga 2.68, 2 Rh 2.68
Pd4 0.8750 0.8764 0.5014  4 Pd 2.62-2.63, 2 Ga 2.68, 2 Rh 2.68
Rh1 0.2500 0.7500 0.5000  4 Ga 2.63, 4 Pd 2.68
Rh2 0.5000 0.5000 0.0000  4 Ga 2.63, 4 Pd 2.68

Calculated values
Total energy in eV per atom: -5.239

---

## Ba2EuTl (PBE)

Data for crystalline Ba2EuTl at its relaxed geometry.

a b c (Å): 6.0970 6.0970 4.7126
angles (deg): 90.00 90.00 90.00
With the nearest neighbours (Å) after each atom.
Sites, in units of the cell vectors:
Ba1 0.0000 0.5000 0.0000  4 Tl 3.85, 4 Eu 3.85, 4 Ba 4.31
Ba2 0.5000 0.0000 0.0000  4 Tl 3.85, 4 Eu 3.85, 4 Ba 4.31
Eu1 0.0000 0.0000 0.5000  8 Ba 3.85, 4 Tl 4.31
Tl1 0.5000 0.5000 0.5000  8 Ba 3.85, 4 Eu 4.31

Calculated values
Total energy in eV per atom: -4.248

---

## Pm2Pr5ErSc (PBE)

Data for crystalline Pm2Pr5ErSc at its relaxed geometry.

a b c (Å): 11.4120 11.4120 10.2931
angles (deg): 90.00 90.00 152.34
With the nearest neighbours (Å) after each atom.
Sites, in units of the cell vectors:
Pm1 0.1152 0.8848 0.5000  1 Sc 3.32, 5 Pr 3.62-3.67
Pm2 0.1156 0.8844 0.9988  1 Sc 3.32, 5 Pr 3.62-3.68
Pm3 0.8844 0.1156 0.4988  1 Sc 3.32, 5 Pr 3.62-3.68
Pm4 0.8848 0.1152 0.0000  1 Sc 3.32, 5 Pr 3.62-3.67
Pr1 0.0007 0.9993 0.2494  2 Er 3.54, 4 Pm 3.62-3.64, 6 Pr 3.75-3.96
Pr2 0.2771 0.7229 0.5624  2 Pr 3.25, 1 Er 3.29, 3 Sc 3.35-3.54
Pr3 0.2776 0.7224 0.9377  2 Pr 3.25, 1 Er 3.28, 3 Sc 3.35-3.55
Pr4 0.3715 0.6285 0.2496  1 Sc 3.58, 4 Pm 3.76, 6 Pr 3.83-3.96
Pr5 0.4999 0.5001 0.4994  2 Er 3.44, 4 Pm 3.74, 6 Pr 3.75-3.84
Pr6 0.5001 0.4999 0.9994  2 Er 3.44, 4 Pm 3.74, 6 Pr 3.75-3.84
Pr7 0.6285 0.3715 0.7496  1 Sc 3.58, 4 Pm 3.76, 6 Pr 3.83-3.96
Pr8 0.7224 0.2776 0.4377  2 Pr 3.25, 1 Er 3.28, 3 Sc 3.35-3.55
Pr9 0.7229 0.2771 0.0624  2 Pr 3.25, 1 Er 3.29, 3 Sc 3.35-3.54
Pr10 0.9993 0.0007 0.7494  2 Er 3.54, 4 Pm 3.62-3.64, 6 Pr 3.75-3.96
Er1 0.3972 0.6028 0.7495  6 Pr 3.28-3.54, 2 Sc 3.62
Er2 0.6028 0.3972 0.2495  6 Pr 3.28-3.54, 2 Sc 3.62
Sc1 0.2100 0.7900 0.2500  2 Pm 3.32, 7 Pr 3.35-3.58, 2 Er 3.62
Sc2 0.7900 0.2100 0.7500  2 Pm 3.32, 7 Pr 3.35-3.58, 2 Er 3.62

Calculated values
Total energy in eV per atom: -4.807

---

## Ni2MoPt3 (PBE)

Data for crystalline Ni2MoPt3 at its relaxed geometry.

a b c (Å): 7.1131 7.1131 4.8060
angles (deg): 90.00 90.00 134.67
With the nearest neighbours (Å) after each atom.
Sites, in units of the cell vectors:
Ni1 0.2330 0.2330 0.0000  3 Ni 2.40-2.55, 2 Mo 2.57, 4 Pt 2.60-2.62
Ni2 0.2330 0.2330 0.5000  3 Ni 2.40-2.55, 2 Mo 2.57, 4 Pt 2.60-2.62
Ni3 0.7670 0.7670 0.0000  3 Ni 2.40-2.55, 2 Mo 2.57, 4 Pt 2.60-2.62
Ni4 0.7670 0.7670 0.5000  3 Ni 2.40-2.55, 2 Mo 2.57, 4 Pt 2.60-2.62
Mo1 0.1430 0.8570 0.7500  4 Ni 2.57, 8 Pt 2.74-2.79
Mo2 0.8570 0.1430 0.2500  4 Ni 2.57, 8 Pt 2.74-2.79
Pt1 0.0695 0.4212 0.7500  2 Ni 2.60, 5 Pt 2.69-2.82, 3 Mo 2.76-2.79
Pt2 0.3620 0.6380 0.2500  4 Ni 2.62, 2 Mo 2.74, 6 Pt 2.79-2.82
Pt3 0.4212 0.0695 0.2500  2 Ni 2.60, 5 Pt 2.69-2.82, 3 Mo 2.76-2.79
Pt4 0.5788 0.9305 0.7500  2 Ni 2.60, 5 Pt 2.69-2.82, 3 Mo 2.76-2.79
Pt5 0.6380 0.3620 0.7500  4 Ni 2.62, 2 Mo 2.74, 6 Pt 2.79-2.82
Pt6 0.9305 0.5788 0.2500  2 Ni 2.60, 5 Pt 2.69-2.82, 3 Mo 2.76-2.79

Calculated values
Total energy in eV per atom: -6.864

---

## W2CI (PBE)

Data for crystalline W2CI at its relaxed geometry.

a b c (Å): 4.3896 4.3896 4.3896
angles (deg): 60.00 60.00 60.00
With the nearest neighbours (Å) after each atom.
Sites, in units of the cell vectors:
W1 0.2500 0.2500 0.2500  4 I 2.69, 4 C 2.69
W2 0.7500 0.7500 0.7500  4 I 2.69, 4 C 2.69
C1 0.0000 0.0000 0.0000  8 W 2.69
I1 0.5000 0.5000 0.5000  8 W 2.69

Calculated values
Uncorrected formation energy in eV per atom: 1.940

---

## Tb2HoC3 (PBE)

Data for crystalline Tb2HoC3 at its relaxed geometry.

a b c (Å): 6.9446 6.9446 6.9446
angles (deg): 131.21 87.96 112.14
With the nearest neighbours (Å) after each atom.
Sites, in units of the cell vectors:
Tb1 0.2385 0.1687 0.0698  4 C 2.39-2.64
Tb2 0.4011 0.8313 0.5698  4 C 2.39-2.64
Tb3 0.5989 0.1687 0.4302  4 C 2.39-2.64
Tb4 0.7615 0.8313 0.9302  4 C 2.39-2.64
Ho1 0.2356 0.4856 0.7500  6 C 2.50-2.59
Ho2 0.7644 0.5144 0.2500  6 C 2.50-2.59
C1 0.0000 0.3807 0.3807  1 C 1.37
C2 0.0000 0.6193 0.6193  1 C 1.37
C3 0.5000 0.0000 0.0000  4 Tb 2.39, 2 Ho 2.50
C4 0.5000 0.3807 0.8807  1 C 1.37
C5 0.5000 0.5000 0.5000  4 Tb 2.39, 2 Ho 2.50
C6 0.5000 0.6193 0.1193  1 C 1.37

Calculated values
Total energy in eV per atom: -6.970

---

## IrOsRh (PBE)

Data for crystalline IrOsRh at its relaxed geometry.

a b c (Å): 4.1765 4.1765 4.1765
angles (deg): 60.00 60.00 60.00
With the nearest neighbours (Å) after each atom.
Sites, in units of the cell vectors:
Ir1 0.0000 0.0000 0.0000  4 Os 2.56
Os1 0.2500 0.2500 0.2500  4 Rh 2.56, 4 Ir 2.56
Rh1 0.5000 0.5000 0.5000  4 Os 2.56

Calculated values
Total energy in eV per atom: -8.514

---

## LiPtRh (PBE)

Data for crystalline LiPtRh at its relaxed geometry.

a b c (Å): 4.2598 4.2598 2.6895
angles (deg): 90.00 90.00 120.00
With the nearest neighbours (Å) after each atom.
Sites, in units of the cell vectors:
Li1 0.0000 0.0000 0.0000  3 Pt 2.57, 3 Rh 2.57, 2 Li 2.69
Pt1 0.6667 0.3333 0.2745  3 Li 2.57, 2 Pt 2.69, 6 Rh 2.74-2.87
Rh1 0.3333 0.6667 0.7219  3 Li 2.57, 2 Rh 2.69, 6 Pt 2.74-2.87

Calculated values
Total energy in eV per atom: -5.254

---

## MnPd4Au5 (PBE)

Data for crystalline MnPd4Au5 at its relaxed geometry.

a b c (Å): 7.3623 7.3623 6.8509
angles (deg): 116.91 116.91 32.98
With the nearest neighbours (Å) after each atom.
Sites, in units of the cell vectors:
Mn1 0.0000 0.0000 0.0000  6 Pd 2.59-2.70
Pd1 0.1727 0.1727 0.4075  1 Mn 2.70, 7 Au 2.77-2.94, 4 Pd 2.84-2.85
Pd2 0.4812 0.4812 0.7621  2 Mn 2.59, 6 Au 2.77-2.85, 2 Pd 2.84
Pd3 0.5188 0.5188 0.2379  2 Mn 2.59, 6 Au 2.77-2.85, 2 Pd 2.84
Pd4 0.8273 0.8273 0.5925  1 Mn 2.70, 7 Au 2.77-2.94, 4 Pd 2.84-2.85
Au1 0.0000 0.0000 0.5000  6 Pd 2.79-2.85, 4 Au 2.90
Au2 0.3152 0.3152 0.8736  5 Pd 2.78-2.90, 3 Au 2.79-2.85
Au3 0.3397 0.3397 0.3028  5 Pd 2.77-2.94, 5 Au 2.79-2.90
Au4 0.6603 0.6603 0.6972  5 Pd 2.77-2.94, 5 Au 2.79-2.90
Au5 0.6848 0.6848 0.1264  5 Pd 2.78-2.90, 3 Au 2.79-2.85

Calculated values
Total energy in eV per atom: -4.654

---

## SrLi6Tl6 (PBE)

Data for crystalline SrLi6Tl6 at its relaxed geometry.

a b c (Å): 7.6719 7.6719 7.6719
angles (deg): 134.41 99.15 98.12
With the nearest neighbours (Å) after each atom.
Sites, in units of the cell vectors:
Sr1 0.0000 0.0000 0.0000  8 Tl 3.43-3.54, 12 Li 3.80-3.84
Li1 0.0000 0.0000 0.5000  4 Li 2.92-2.97, 6 Tl 2.96-3.07
Li2 0.0000 0.5000 0.0000  4 Li 2.92-2.97, 6 Tl 2.96-3.07
Li3 0.2376 0.5000 0.7376  4 Li 2.92, 6 Tl 3.04-3.16
Li4 0.5000 0.0000 0.0000  4 Li 2.92-2.97, 6 Tl 2.96-3.07
Li5 0.5000 0.5000 0.5000  4 Li 2.92-2.97, 6 Tl 2.96-3.07
Li6 0.7624 0.5000 0.2624  4 Li 2.92, 6 Tl 3.04-3.16
Tl1 0.1906 0.6906 0.5000  6 Li 2.96-3.04
Tl2 0.3448 0.0000 0.3448  6 Li 3.07-3.16, 1 Tl 3.09, 1 Sr 3.43
Tl3 0.3456 0.3456 0.0000  6 Li 3.04-3.05, 3 Tl 3.11-3.36
Tl4 0.6544 0.6544 0.0000  6 Li 3.04-3.05, 3 Tl 3.11-3.36
Tl5 0.6552 0.0000 0.6552  6 Li 3.07-3.16, 1 Tl 3.09, 1 Sr 3.43
Tl6 0.8094 0.3094 0.5000  6 Li 2.96-3.04

Calculated values
Total energy in eV per atom: -2.345

---

## ThZrN2 (PBE)

Data for crystalline ThZrN2 at its relaxed geometry.

a b c (Å): 3.4123 3.4123 11.5586
angles (deg): 90.00 90.00 120.00
With the nearest neighbours (Å) after each atom.
Sites, in units of the cell vectors:
Th1 0.3333 0.6667 0.2500  6 N 2.54
Th2 0.6667 0.3333 0.7500  6 N 2.54
Zr1 0.0000 0.0000 0.0000  6 N 2.35
Zr2 0.0000 0.0000 0.5000  6 N 2.35
N1 0.3333 0.6667 0.6107  3 Zr 2.35, 3 Th 2.54
N2 0.3333 0.6667 0.8893  3 Zr 2.35, 3 Th 2.54
N3 0.6667 0.3333 0.1107  3 Zr 2.35, 3 Th 2.54
N4 0.6667 0.3333 0.3893  3 Zr 2.35, 3 Th 2.54

Calculated values
Uncorrected formation energy in eV per atom: -1.571

---

## LiHfB (PBE)

Data for crystalline LiHfB at its relaxed geometry.

a b c (Å): 4.4237 4.4237 5.9524
angles (deg): 98.85 98.85 48.42
With the nearest neighbours (Å) after each atom.
Sites, in units of the cell vectors:
Li1 0.0000 0.0000 0.0000  4 B 2.02
Li2 0.5000 0.5000 0.5000  2 B 2.30
Hf1 0.2454 0.2454 0.7662  4 B 2.35-2.54, 1 Li 2.61
Hf2 0.7546 0.7546 0.2338  4 B 2.35-2.54, 1 Li 2.61
B1 0.4382 0.4382 0.1084  1 B 1.76
B2 0.5618 0.5618 0.8916  1 B 1.76

Calculated values
Total energy in eV per atom: -6.091